[1]
VASP calculation (PBE) on crystalline Mg3Si4 at its relaxed geometry.

Results
D(E_F): 2.378 states/eV/f.u.
space group: Pm, No. 6
E above lowest polymorph: 0.026 eV/atom

```
Mg3Si4
1.0
8.364 0.000 0.000
0.000 3.969 0.000
-3.401 0.000 7.745
Mg Si
6 8
Direct
0.000 0.000 0.000
0.004 0.000 0.427
0.323 0.500 0.039
0.363 0.500 0.662
0.577 0.000 0.969
0.687 0.000 0.631
0.172 0.500 0.274
0.184 0.000 0.781
0.344 0.000 0.411
0.546 0.000 0.275
0.727 0.500 0.386
0.737 0.500 0.861
0.859 0.500 0.173
0.971 0.500 0.687
```

[2]
VASP calculation (PBE) on crystalline Ti2Fe2Si at its relaxed geometry.

Results
D(E_F): 4.544 states/eV/f.u.
space group: P4/mbm, No. 127
energy: -7.981 eV per atom

```
Ti2Fe2Si
1.0
5.796 0.000 0.000
0.000 5.796 0.000
0.000 0.000 4.028
Ti Fe Si
4 4 2
Direct
0.186 0.314 0.000
0.314 0.814 0.000
0.686 0.186 0.000
0.814 0.686 0.000
0.131 0.631 0.500
0.369 0.131 0.500
0.631 0.869 0.500
0.869 0.369 0.500
0.000 0.000 0.500
0.500 0.500 0.500
```

[3]
VASP calculation (PBE) on crystalline ReSiPt2 at its relaxed geometry.

Results
D(E_F): 3.675 states/eV/f.u.
space group: Immm, No. 71
energy: -7.601 eV per atom

```
ReSiPt2
1.0
-1.580 2.122 4.373
1.580 -2.122 4.373
1.580 2.122 -4.373
Re Si Pt
1 1 2
Direct
0.000 0.000 0.000
0.500 0.500 0.000
0.284 0.784 0.500
0.716 0.216 0.500
```

[4]
VASP calculation (PBE) on crystalline FeCoNi2 at its relaxed geometry.

Results
D(E_F): 3.788 states/eV/f.u.
space group: R3m, No. 160
energy: -6.793 eV per atom

```
FeCoNi2
1.0
1.249 0.721 8.225
-1.249 0.721 8.225
0.000 -1.442 8.225
Fe Co Ni
1 1 2
Direct
0.000 0.000 0.000
0.248 0.248 0.248
0.500 0.500 0.500
0.749 0.749 0.749
```